No. 1
RbLiPuCl5 PBE-GGA relaxed; symmetry = C2/c; electronic total energy = -5.220 eV per atom; ΔE_f (raw) = -1914 meV per atom
1.0
4.552 -6.157 0.000
4.552 6.157 0.000
-4.119 0.000 9.381
Rb Li Pu Cl
2 2 2 10
Cartesian
1.463 4.256 7.036
3.522 -4.256 2.345
3.522 3.795 2.345
1.463 -3.795 7.036
4.552 0.000 0.000
2.492 0.000 4.691
-2.028 0.840 8.614
2.000 2.480 3.676
0.032 -0.840 3.923
5.044 2.480 1.015
1.463 0.952 7.036
3.522 -0.952 2.345
-0.059 -2.480 8.367
4.953 0.840 5.458
2.985 -2.480 5.705
7.012 -0.840 0.768

No. 2
RbLiPuCl4 PBE-GGA relaxed; symmetry = P2_1/m; electronic total energy = -5.316 eV per atom; ΔE_f (raw) = -1802 meV per atom
1.0
6.745 0.000 0.000
0.000 6.938 0.000
-3.061 0.000 8.585
Rb Li Pu Cl
2 2 2 8
Cartesian
0.163 1.735 3.744
3.521 5.204 4.841
1.254 5.204 1.542
2.430 1.735 7.043
-0.916 1.735 8.214
4.600 5.204 0.371
-2.519 5.204 7.944
-0.612 5.204 2.886
0.873 3.478 6.734
0.873 6.929 6.734
2.811 0.009 1.851
2.811 3.460 1.851
4.296 1.735 5.699
6.203 1.735 0.641

No. 3
Rb3Li2PuCl9 PBE-GGA relaxed; symmetry = P-3m1; electronic total energy = -4.356 eV per atom; ΔE_f (raw) = -1844 meV per atom
1.0
7.398 0.000 0.000
-3.699 6.407 0.000
0.000 0.000 9.351
Rb Li Pu Cl
3 2 1 9
Cartesian
0.000 0.000 0.000
0.000 4.271 6.664
3.699 2.136 2.686
0.000 4.271 0.990
3.699 2.136 8.361
0.000 0.000 4.675
-1.849 3.203 0.000
0.000 2.111 3.167
-1.871 5.351 3.167
1.828 1.056 6.184
3.699 0.000 0.000
1.849 3.203 0.000
1.871 5.351 3.167
5.569 1.056 6.184
3.699 4.295 6.184

The lowest electronic total energy belongs to which entry?
RbLiPuCl4

Which of these has the highest ΔE_f (raw)?
RbLiPuCl4

Which of these has the highest ΔE_f (raw)?
RbLiPuCl4

What is the ΔE_f (raw) in the second record?
-1802 meV per atom